First-principles (GGA-PBE) data for crystalline ZnIrPb at its relaxed geometry, as listed in Alexandria.

The structure in POSCAR format:
```
ZnIrPb
1.0
4.4653 0.0000 0.0000
2.2327 3.8671 0.0000
2.2327 1.2890 3.6459
Zn Pb Ir
1 1 1
direct
0.5000 0.5000 0.5000
0.0000 0.0000 0.0000
0.2500 0.2500 0.2500
```

Calculated values
Electronic total energy: -4.485 eV per atom
M_tot: 0.00 μB per cell
Relative energy among the computed polymorphs: 0 meV/atom
Crystal system: cubic
Energy of formation from the pure elements: 0.1291 eV per atom